No. 1
{
  "formula": "CaTmAlO4",
  "functional": "PBE",
  "state": "relaxed",
  "lattice_angstrom": [[-1.8283, 1.8283, 5.8917], [1.8283, -1.8283, 5.8917], [1.8283, 1.8283, -5.8917]],
  "species": ["Ca", "Tm", "Al", "O", "O", "O", "O"],
  "frac_coords": [[0.0000, 0.0000, 0.0000], [0.7143, 0.7143, 0.0000], [0.3593, 0.3593, 0.0000], [0.1877, 0.1877, 0.0000], [0.3479, 0.8479, 0.5000], [0.5271, 0.5271, 0.0000], [0.8479, 0.3479, 0.5000]],
  "space_group": "I4mm, No. 107",
  "e_form_raw_ev_per_fu": -22.42
}

***

No. 2
{
  "formula": "CaUAlO6",
  "functional": "PBE",
  "state": "relaxed",
  "lattice_angstrom": [[5.2882, 0.0000, 0.0000], [-2.6441, 4.5797, 0.0000], [0.0000, 0.0000, 10.0662]],
  "species": ["Ca", "Ca", "U", "U", "Al", "Al", "O", "O", "O", "O", "O", "O", "O", "O", "O", "O", "O", "O"],
  "frac_coords": [[0.0000, 0.0000, 0.0000], [0.0000, 0.0000, 0.5000], [0.3333, 0.6667, 0.2500], [0.6667, 0.3333, 0.7500], [0.3333, 0.6667, 0.7500], [0.6667, 0.3333, 0.2500], [0.0206, 0.3725, 0.6446], [0.0206, 0.6481, 0.8554], [0.3519, 0.3725, 0.8554], [0.3519, 0.9794, 0.6446], [0.3725, 0.0206, 0.1446], [0.3725, 0.3519, 0.3554], [0.6275, 0.6481, 0.6446], [0.6275, 0.9794, 0.8554], [0.6481, 0.0206, 0.3554], [0.6481, 0.6275, 0.1446], [0.9794, 0.3519, 0.1446], [0.9794, 0.6275, 0.3554]],
  "space_group": "P-31c, No. 163",
  "e_form_raw_ev_per_fu": -25.17
}

***

Question: Number 2 is which compound?
Answer: CaUAlO6